Record 1
Compound: IrAu2F
Source: Alexandria
Functional: GGA-PBE
Structure: optimized geometry

The symmetry is No. 225. Its magnetic moment is 1.4 μB/cell. The value obtained for the energy is -16.07 eV/cell. For the raw formation energy, the calculation gives 306 meV/atom. The calculation puts the theoretical density at 15.94 g/cm3. The density of states at the Fermi level is 3.497 states/eV/cell. As for the energy above the most stable polymorph in this dataset: 0.00 eV/f.u.

Lattice parameters (Å, degrees): 4.467 4.467 4.467 60.00 60.00 60.00
Each line ends with the local moment (μB).
Element x y z (fractional)
Au (0.750, 0.750, 0.750)  0.16
Au (0.250, 0.250, 0.250)  0.16
F (0.000, 0.000, 0.000)  0.02
Ir (0.500, 0.500, 0.500)  1.01

***

Record 2
Compound: Ho3ScTl
Source: Alexandria
Functional: GGA-PBE
Structure: optimized geometry

Its formation energy from the elements is -111 meV per atom. The symmetry is No. 63. Its magnetic moment is 0.0 μB/cell. The value obtained for the energy is -45.97 eV/cell. The calculation puts the theoretical density at 9.00 g/cm3. The density of states at the Fermi level is 11.753 states/eV/cell. As for the energy above the most stable polymorph in this dataset: 0.00 eV/f.u.

Lattice parameters (Å, degrees): 4.725 4.731 12.508 90.00 79.11 90.00
Element x y z (fractional)
Ho (0.074, 0.750, 0.500)
Ho (0.878, 0.750, 0.892)
Ho (0.770, 0.250, 0.108)
Ho (0.273, 0.750, 0.103)
Ho (0.375, 0.250, 0.897)
Ho (0.574, 0.250, 0.500)
Tl (0.672, 0.750, 0.304)
Tl (0.976, 0.250, 0.696)
Sc (0.173, 0.250, 0.302)
Sc (0.475, 0.750, 0.698)

***

Record 3
Compound: La3Zn3Pt
Source: Alexandria
Functional: GGA-PBE
Structure: optimized geometry

Its formation energy from the elements is -550 meV per atom. The symmetry is No. 44. Its magnetic moment is 0.0 μB/cell. The value obtained for the energy is -28.50 eV/cell. The calculation puts the theoretical density at 7.56 g/cm3. The density of states at the Fermi level is 5.663 states/eV/cell.

Lattice parameters (Å, degrees): 4.595 3.864 10.431 100.67 102.73 90.00
Element x y z (fractional)
Zn (0.566, 0.566, 0.131)
Zn (0.136, 0.636, 0.272)
Zn (0.862, 0.362, 0.724)
La (0.690, 0.190, 0.380)
La (0.994, 0.994, 0.987)
La (0.319, 0.819, 0.638)
Pt (0.434, 0.434, 0.867)